{
  "formula": "LuFePd2",
  "functional": "GGA-PBE",
  "state": "relaxed",
  "energy_ev_per_cell": -25.4,
  "lattice_angstrom": [[4.100, 0.000, 0.000], [0.000, 4.100, 0.000], [0.000, 0.000, 3.914]],
  "species": ["Lu", "Fe", "Pd", "Pd"],
  "frac_coords": [[0.000, 0.000, 0.000], [0.500, 0.500, 0.000], [0.000, 0.500, 0.500], [0.500, 0.000, 0.500]]
}

{
  "formula": "PrCdGa2Pd5",
  "functional": "GGA-PBE",
  "state": "relaxed",
  "energy_ev_per_cell": -42.7,
  "lattice_angstrom": [[4.216, 0.000, 0.000], [0.000, 4.216, 0.000], [0.000, 0.000, 9.363]],
  "species": ["Pr", "Cd", "Ga", "Ga", "Pd", "Pd", "Pd", "Pd", "Pd"],
  "frac_coords": [[0.000, 0.000, 0.000], [0.000, 0.000, 0.500], [0.500, 0.500, 0.370], [0.500, 0.500, 0.630], [0.000, 0.500, 0.230], [0.000, 0.500, 0.770], [0.500, 0.000, 0.230], [0.500, 0.000, 0.770], [0.500, 0.500, 0.000]]
}

{
  "formula": "Tl3SnHg12",
  "functional": "GGA-PBE",
  "state": "relaxed",
  "energy_ev_per_cell": -14.5,
  "lattice_angstrom": [[5.736, 0.000, 0.000], [0.000, 5.736, 0.000], [0.000, 0.000, 13.639]],
  "species": ["Tl", "Tl", "Tl", "Sn", "Hg", "Hg", "Hg", "Hg", "Hg", "Hg", "Hg", "Hg", "Hg", "Hg", "Hg", "Hg"],
  "frac_coords": [[0.000, 0.000, 0.000], [0.000, 0.000, 0.256], [0.000, 0.000, 0.744], [0.000, 0.000, 0.500], [0.000, 0.500, 0.127], [0.000, 0.500, 0.380], [0.000, 0.500, 0.620], [0.000, 0.500, 0.873], [0.500, 0.000, 0.127], [0.500, 0.000, 0.380], [0.500, 0.000, 0.620], [0.500, 0.000, 0.873], [0.500, 0.500, 0.000], [0.500, 0.500, 0.254], [0.500, 0.500, 0.500], [0.500, 0.500, 0.746]]
}

{
  "formula": "Pm8Er2Mg",
  "functional": "GGA-PBE",
  "state": "relaxed",
  "de_polymorph_ev_per_atom": 0.138,
  "lattice_angstrom": [[5.197, -6.615, 0.000], [5.197, 6.615, 0.000], [-0.015, 0.000, 5.474]],
  "species": ["Pm", "Pm", "Pm", "Pm", "Pm", "Pm", "Pm", "Pm", "Er", "Er", "Mg"],
  "frac_coords": [[0.000, 0.000, 0.000], [0.327, 0.327, 0.000], [0.362, 0.637, 0.498], [0.411, 0.917, 0.000], [0.637, 0.362, 0.498], [0.690, 0.965, 0.501], [0.917, 0.411, 0.000], [0.965, 0.690, 0.501], [0.043, 0.284, 0.500], [0.284, 0.043, 0.500], [0.663, 0.663, 0.000]]
}

{
  "formula": "NdTh3In4",
  "functional": "GGA-PBE",
  "state": "relaxed",
  "energy_ev_per_cell": -40.3,
  "lattice_angstrom": [[3.306, 0.000, 0.000], [0.000, 5.927, 0.000], [0.000, 0.000, 11.848]],
  "species": ["Nd", "Th", "Th", "Th", "In", "In", "In", "In"],
  "frac_coords": [[0.000, 0.000, 0.000], [0.000, 0.000, 0.500], [0.000, 0.500, 0.250], [0.000, 0.500, 0.750], [0.500, 0.000, 0.249], [0.500, 0.000, 0.751], [0.500, 0.500, 0.000], [0.500, 0.500, 0.500]]
}

{
  "formula": "Mg2MnNbIn",
  "functional": "GGA-PBE",
  "state": "relaxed",
  "energy_ev_per_cell": -20.3,
  "lattice_angstrom": [[5.486, 0.000, 0.000], [0.000, 5.486, 0.000], [0.000, 0.000, 4.499]],
  "species": ["Mg", "Mg", "Mn", "Nb", "In"],
  "frac_coords": [[0.000, 0.500, 0.000], [0.500, 0.000, 0.000], [0.000, 0.000, 0.500], [0.000, 0.000, 0.000], [0.500, 0.500, 0.500]]
}

{
  "formula": "LaMnTe2",
  "functional": "GGA-PBE",
  "state": "relaxed",
  "raw_formation_energy_ev_per_fu": -2.630,
  "de_polymorph_ev_per_atom": 0.151,
  "lattice_angstrom": [[5.246, 0.000, 0.000], [0.000, 5.246, 0.000], [0.000, 0.000, 3.940]],
  "species": ["La", "Mn", "Te", "Te"],
  "frac_coords": [[0.000, 0.000, 0.000], [0.500, 0.500, 0.000], [0.000, 0.500, 0.500], [0.500, 0.000, 0.500]]
}

{
  "formula": "Mg2CdRe",
  "functional": "GGA-PBE",
  "state": "relaxed",
  "energy_ev_per_cell": -15.5,
  "lattice_angstrom": [[2.854, 0.000, 0.000], [0.000, 2.854, 0.000], [0.000, 0.000, 9.063]],
  "species": ["Mg", "Mg", "Cd", "Re"],
  "frac_coords": [[0.000, 0.000, 0.228], [0.000, 0.000, 0.772], [0.500, 0.500, 0.500], [0.500, 0.500, 0.000]]
}